## ThUPa2P4 (PBE)

Data for a relaxed structure of ThUPa2P4.

Cell lengths 4.003, 6.940, 6.946 Å; angles 70.60, 90.00, 90.00 degrees
Site moments in Bohr magnetons follow the coordinates.
Element x y z (fractional)
Th1 0.000 0.500 0.500  -0.01
U1 0.500 0.500 0.000  1.95
Pa1 0.000 0.000 0.000  0.01
Pa2 0.500 0.000 0.500  0.10
P1 0.000 0.753 0.755  -0.03
P2 0.000 0.247 0.245  -0.03
P3 0.500 0.758 0.241  -0.01
P4 0.500 0.242 0.759  -0.01

Calculated values
DFT formation energy ... -1.28 eV/atom
Energy ... -69.5 eV per cell
Total moment ... 0.27 μB per atom

## CeLuThTi (PBE)

Data for a relaxed structure of CeLuThTi.

Cell lengths 5.360, 5.360, 5.360 Å; angles 60.00, 60.00, 60.00 degrees
Site moments in Bohr magnetons follow the coordinates.
Element x y z (fractional)
Lu1 0.750 0.750 0.750  -0.09
Ce1 0.000 0.000 0.000  0.55
Th1 0.500 0.500 0.500  0.08
Ti1 0.250 0.250 0.250  0.82

Calculated values
DFT formation energy ... 0.24 eV/atom
Energy ... -24.8 eV per cell
Total moment ... 0.44 μB per atom

## Pr12Sn6C (PBE)

Data for a relaxed structure of Pr12Sn6C.

Cell lengths 8.593, 8.593, 8.593 Å; angles 92.52, 92.52, 92.52 degrees
Element x y z (fractional)
Pr1 0.806 0.584 0.454
Pr2 0.454 0.806 0.584
Pr3 0.584 0.454 0.806
Pr4 0.194 0.416 0.546
Pr5 0.546 0.194 0.416
Pr6 0.416 0.546 0.194
Pr7 0.957 0.073 0.291
Pr8 0.927 0.709 0.043
Pr9 0.709 0.043 0.927
Pr10 0.043 0.927 0.709
Pr11 0.073 0.291 0.957
Pr12 0.291 0.957 0.073
Sn1 0.636 0.858 0.254
Sn2 0.746 0.364 0.142
Sn3 0.142 0.746 0.364
Sn4 0.364 0.142 0.746
Sn5 0.254 0.636 0.858
Sn6 0.858 0.254 0.636
C1 0.000 0.000 0.000

Calculated values
DFT formation energy ... -0.49 eV/atom
Energy ... -99.8 eV per cell
Total moment ... 0.00 μB per atom

## TbMnS2 (PBE)

Data for a relaxed structure of TbMnS2.

Cell lengths 3.677, 3.677, 8.202 Å; angles 77.05, 77.05, 60.00 degrees
Site moments in Bohr magnetons follow the coordinates.
Element x y z (fractional)
S1 0.112 0.112 0.665  -0.01
S2 0.888 0.888 0.335  -0.01
Mn1 0.500 0.500 0.500  3.91
Tb1 0.000 0.000 0.000  0.13

Calculated values
Raw formation energy ... -14.98 kcal/mol of atoms
Energy ... -24.7 eV per cell
Total moment ... 1.09 μB per atom

## ZrCu3B (PBE)

Data for a relaxed structure of ZrCu3B.

Cell lengths 4.043, 4.043, 4.043 Å; angles 90.00, 90.00, 90.00 degrees
Element x y z (fractional)
B1 0.000 0.000 0.000
Cu1 0.000 0.500 0.000
Cu2 0.000 0.000 0.500
Cu3 0.500 0.000 0.000
Zr1 0.500 0.500 0.500

Calculated values
DFT formation energy ... 0.06 eV/atom
Energy ... -27.2 eV per cell
Distance to the lowest polymorph of the same formula ... 0.0 meV/atom
Total moment ... 0.00 μB per atom

## Ca2Nb2Cl (PBE)

Data for a relaxed structure of Ca2Nb2Cl.

Cell lengths 3.748, 3.748, 9.873 Å; angles 79.06, 79.06, 90.00 degrees
Element x y z (fractional)
Nb1 0.750 0.250 0.500
Nb2 0.250 0.750 0.500
Ca1 0.392 0.392 0.215
Ca2 0.608 0.608 0.785
Cl1 0.000 0.000 0.000

Calculated values
Raw formation energy ... -4.10 kcal/mol of atoms
Energy ... -26.9 eV per cell
Distance to the lowest polymorph of the same formula ... 0.0 meV/atom
Total moment ... 0.00 μB per atom

## LaTeCl (PBE)

Data for a relaxed structure of LaTeCl.

Cell lengths 4.859, 4.859, 4.397 Å; angles 90.00, 90.00, 120.00 degrees
Element x y z (fractional)
Cl1 0.000 0.000 0.168
La1 0.667 0.333 0.165
Te1 0.333 0.667 0.667

Calculated values
Raw formation energy ... -41.99 kcal/mol of atoms
Energy ... -15.4 eV per cell
Distance to the lowest polymorph of the same formula ... 151.1 meV/atom
Total moment ... 0.00 μB per atom

## AsPAuO2 (PBE)

Data for a relaxed structure of AsPAuO2.

Cell lengths 3.997, 3.997, 4.968 Å; angles 90.00, 90.00, 90.00 degrees
Element x y z (fractional)
P1 0.000 0.000 0.500
As1 0.500 0.500 0.500
Au1 0.000 0.000 0.000
O1 0.000 0.500 0.000
O2 0.500 0.000 0.000

Calculated values
Raw formation energy ... 14.47 kcal/mol of atoms
Energy ... -20.1 eV per cell
Distance to the lowest polymorph of the same formula ... 762.2 meV/atom
Total moment ... 0.00 μB per atom